Here is a relaxed NdSN4 crystal from Alexandria. Energies are from PBE.

Formation energy (no corrections) in meV/atom: -233
Total magnetic moment in μB/atom: 0.000

Unit cell a=6.905 b=6.905 c=6.716 alpha=81.70 beta=81.70 gamma=130.32
Positions (direct):
Nd 0.067 0.933 0.750
Nd 0.933 0.067 0.250
S 0.534 0.466 0.750
S 0.466 0.534 0.250
N 0.954 0.421 0.460
N 0.759 0.699 0.101
N 0.421 0.954 0.960
N 0.699 0.759 0.601
N 0.046 0.579 0.540
N 0.579 0.046 0.040
N 0.241 0.301 0.899
N 0.301 0.241 0.399